Here is TcSbP2O after structural relaxation from Alexandria. Energies are from PBE.

Properties
ΔE to the lowest computed polymorph in meV/atom: 950
Space group: P4/mmm (123)

Lattice parameters (Å, degrees): 5.0321 5.0321 3.8682 90.00 90.00 90.00
Each line ends with the local moment (μB).
Positions (direct):
Sb 0.0000 0.0000 0.0000  0.02
Tc 0.5000 0.5000 0.5000  3.28
O 0.0000 0.0000 0.5000  0.04
P 0.0000 0.5000 0.0000  -0.11
P 0.5000 0.0000 0.0000  -0.11

=====

Here is TcSbP2O after structural relaxation from Alexandria. Energies are from PBE.

Properties
ΔE to the lowest computed polymorph in meV/atom: 0
Space group: P4/mmm (123)

Lattice parameters (Å, degrees): 4.8615 4.8615 3.7118 90.00 90.00 90.00
Positions (direct):
P 0.5000 0.0000 0.0000
P 0.0000 0.5000 0.0000
Tc 0.0000 0.0000 0.0000
O 0.0000 0.0000 0.5000
Sb 0.5000 0.5000 0.5000

=====

Here is SbTeP2O after structural relaxation from Alexandria. Energies are from PBE.

Properties
ΔE to the lowest computed polymorph in meV/atom: 75
Space group: P4/mmm (123)

Lattice parameters (Å, degrees): 5.1478 5.1478 3.9658 90.00 90.00 90.00
Positions (direct):
P 0.0000 0.5000 0.0000
P 0.5000 0.0000 0.0000
Sb 0.5000 0.5000 0.5000
Te 0.0000 0.0000 0.0000
O 0.0000 0.0000 0.5000

=====

Here is SbTeP2O after structural relaxation from Alexandria. Energies are from PBE.

Properties
ΔE to the lowest computed polymorph in meV/atom: 0
Space group: P4/mmm (123)

Lattice parameters (Å, degrees): 5.1289 5.1289 3.9509 90.00 90.00 90.00
Positions (direct):
Sb 0.0000 0.0000 0.0000
Te 0.5000 0.5000 0.5000
O 0.0000 0.0000 0.5000
P 0.0000 0.5000 0.0000
P 0.5000 0.0000 0.0000

=====

Here is TiSbPO2 after structural relaxation from Alexandria. Energies are from PBE.

Properties
ΔE to the lowest computed polymorph in meV/atom: 826
Space group: P4/mmm (123)

Lattice parameters (Å, degrees): 3.9278 3.9278 5.3432 90.00 90.00 90.00
Each line ends with the local moment (μB).
Positions (direct):
O 0.5000 0.0000 0.0000  0.02
O 0.0000 0.5000 0.0000  0.02
Sb 0.0000 0.0000 0.0000  0.03
P 0.0000 0.0000 0.5000  -0.06
Ti 0.5000 0.5000 0.5000  1.37

=====

Here is TiSbP3O12 after structural relaxation from Alexandria. Energies are from PBE.

Properties
Space group: R3c (161)

Lattice parameters (Å, degrees): 8.9151 8.9151 8.9151 57.76 57.76 57.76
Positions (direct):
O 0.9222 0.0648 0.2917
O 0.0648 0.2917 0.9222
O 0.5200 0.2583 0.1418
O 0.1418 0.5200 0.2583
O 0.2917 0.9222 0.0648
O 0.3638 0.2197 0.9981
O 0.9403 0.7183 0.0712
O 0.4981 0.7197 0.8638
O 0.8638 0.4981 0.7197
O 0.7197 0.8638 0.4981
O 0.2183 0.4403 0.5712
O 0.4222 0.7917 0.5648
O 0.9981 0.3638 0.2197
O 0.5648 0.4222 0.7917
O 0.0712 0.9403 0.7183
O 0.7917 0.5648 0.4222
O 0.0200 0.6418 0.7583
O 0.2583 0.1418 0.5200
O 0.2197 0.9981 0.3638
O 0.6418 0.7583 0.0200
O 0.7183 0.0712 0.9403
O 0.7583 0.0200 0.6418
O 0.5712 0.2183 0.4403
O 0.4403 0.5712 0.2183
Sb 0.8545 0.8545 0.8545
Sb 0.3545 0.3545 0.3545
P 0.0352 0.4650 0.7460
P 0.9650 0.5352 0.2460
P 0.7460 0.0352 0.4650
P 0.5352 0.2460 0.9650
P 0.4650 0.7460 0.0352
P 0.2460 0.9650 0.5352
Ti 0.1410 0.1410 0.1410
Ti 0.6410 0.6410 0.6410

=====

Here is TiSbPO2 after structural relaxation from Alexandria. Energies are from PBE.

Properties
ΔE to the lowest computed polymorph in meV/atom: 0
Space group: P4/mmm (123)

Lattice parameters (Å, degrees): 3.8639 3.8639 5.1688 90.00 90.00 90.00
Positions (direct):
Sb 0.5000 0.5000 0.5000
P 0.0000 0.0000 0.5000
O 0.5000 0.0000 0.0000
O 0.0000 0.5000 0.0000
Ti 0.0000 0.0000 0.0000

=====

Here is TiSb3P6O24 after structural relaxation from Alexandria. Energies are from PBE.

Properties
Space group: R3 (146)

Lattice parameters (Å, degrees): 9.0923 9.0923 9.0923 55.55 55.55 55.55
Each line ends with the local moment (μB).
Positions (direct):
P 0.2501 0.9626 0.5403  0.01
P 0.0413 0.4658 0.7431  0.00
P 0.9626 0.5403 0.2501  0.01
P 0.5403 0.2501 0.9626  0.01
P 0.7431 0.0413 0.4658  0.00
P 0.4658 0.7431 0.0413  0.00
O 0.7724 0.8491 0.4757  0.00
O 0.5353 0.4549 0.8154  0.00
O 0.1591 0.5227 0.2204  0.00
O 0.9773 0.3720 0.2368  0.04
O 0.4549 0.8154 0.5353  0.00
O 0.2630 0.8730 0.1265  0.05
O 0.8491 0.4757 0.7724  0.00
O 0.7891 0.0040 0.6241  0.00
O 0.2368 0.9773 0.3720  0.04
O 0.4757 0.7724 0.8491  0.00
O 0.7279 0.0952 0.8966  0.00
O 0.5227 0.2204 0.1591  0.00
O 0.0040 0.6241 0.7891  0.00
O 0.8730 0.1265 0.2630  0.05
O 0.1265 0.2630 0.8730  0.05
O 0.4929 0.5296 0.1816  0.01
O 0.3720 0.2368 0.9773  0.04
O 0.6241 0.7891 0.0040  0.00
O 0.8966 0.7279 0.0952  0.00
O 0.1816 0.4929 0.5296  0.01
O 0.0952 0.8966 0.7279  0.00
O 0.5296 0.1816 0.4929  0.01
O 0.8154 0.5353 0.4549  0.00
O 0.2204 0.1591 0.5227  0.00
Sb 0.3505 0.3505 0.3505  0.00
Sb 0.6522 0.6522 0.6522  0.01
Sb 0.1425 0.1425 0.1425  0.17
Ti 0.8568 0.8568 0.8568  0.01

=====

Here is Ti3Sb2P6O24 after structural relaxation from Alexandria. Energies are from PBE.

Properties
Space group: R3 (146)

Lattice parameters (Å, degrees): 9.1547 9.1547 9.1547 55.57 55.57 55.57
Positions (direct):
O 0.6962 0.8997 0.5307
O 0.0677 0.9806 0.6931
O 0.4576 0.3476 0.0936
O 0.5307 0.6962 0.8997
O 0.1525 0.5903 0.6895
O 0.4102 0.7535 0.5964
O 0.9761 0.3613 0.2359
O 0.0936 0.4576 0.3476
O 0.7535 0.5964 0.4102
O 0.3476 0.0936 0.4576
O 0.6895 0.1525 0.5903
O 0.9410 0.0452 0.3026
O 0.0452 0.3026 0.9410
O 0.2359 0.9761 0.3613
O 0.8997 0.5307 0.6962
O 0.6059 0.2443 0.3239
O 0.2443 0.3239 0.6059
O 0.3613 0.2359 0.9761
O 0.5903 0.6895 0.1525
O 0.3239 0.6059 0.2443
O 0.3026 0.9410 0.0452
O 0.5964 0.4102 0.7535
O 0.9806 0.6931 0.0677
O 0.6931 0.0677 0.9806
Ti 0.1426 0.1426 0.1426
Ti 0.6701 0.6701 0.6701
Ti 0.3469 0.3469 0.3469
Sb 0.9617 0.9617 0.9617
Sb 0.5177 0.5177 0.5177
P 0.9556 0.5226 0.2625
P 0.0912 0.4440 0.7325
P 0.2625 0.9556 0.5226
P 0.7325 0.0912 0.4440
P 0.5226 0.2625 0.9556
P 0.4440 0.7325 0.0912

=====

Table of raw formation energy (eV per formula unit), in record order: 4.211 -0.540 2.004 1.629 -2.314 -37.171 -6.442 -68.039 -79.242